# 1
Here is a geometry-optimized Ag2ICl structure from Alexandria via LeMat-Bulk. Energies are from PBE.

- E_form (uncorrected) (eV/f.u.) = -1.4
- ΔE to the lowest computed polymorph (meV per atom) = 4
- V (Å³/cell) = 254
- magnetization (Bohr magnetons per cell) = 0.000

Cell and atoms, written as CIF:
```
data_Ag2ICl
_cell_length_a 4.528
_cell_length_b 7.666
_cell_length_c 8.502
_cell_angle_alpha 115.82
_cell_angle_beta 105.42
_cell_angle_gamma 90.04
_symmetry_space_group_name_H-M 'P 1'
_symmetry_Int_Tables_number 1
_symmetry_space_group_name_Hall 'P 1'
loop_
_atom_site_label
_atom_site_type_symbol
_atom_site_fract_x
_atom_site_fract_y
_atom_site_fract_z
Ag1 Ag 0.000 0.000 0.000
Ag2 Ag 0.227 0.579 0.457
Ag3 Ag 0.490 0.481 0.980
Ag4 Ag 0.759 0.065 0.520
I1 I 0.191 0.179 0.384
I2 I 0.423 0.763 0.848
Cl1 Cl 0.673 0.673 0.349
Cl2 Cl 0.941 0.274 0.883
```

# 2
Here is a geometry-optimized ZrPOsCl2 structure from Alexandria via LeMat-Bulk. Energies are from PBE.

- E_form (uncorrected) (eV/f.u.) = 3.3
- ΔE to the lowest computed polymorph (meV per atom) = 108
- V (Å³/cell) = 126
- magnetization (Bohr magnetons per cell) = 3.844

Cell and atoms, written as CIF:
```
data_ZrPOsCl2
_cell_length_a 4.864
_cell_length_b 4.864
_cell_length_c 5.312
_cell_angle_alpha 90.00
_cell_angle_beta 90.00
_cell_angle_gamma 90.00
_symmetry_space_group_name_H-M 'P 4/m m m'
_symmetry_Int_Tables_number 123
_symmetry_space_group_name_Hall '-P 4 2'
loop_
_atom_site_label
_atom_site_type_symbol
_atom_site_fract_x
_atom_site_fract_y
_atom_site_fract_z
Zr1 Zr 0.000 0.000 0.000
P1 P 0.000 0.000 0.500
Os1 Os 0.500 0.500 0.500
Cl1 Cl 0.000 0.500 0.000
```

# 3
Here is a geometry-optimized Na3LiSb structure from Alexandria via LeMat-Bulk. Energies are from PBE.

- E_form (uncorrected) (eV/f.u.) = -0.2
- ΔE to the lowest computed polymorph (meV per atom) = 184
- V (Å³/cell) = 210
- magnetization (Bohr magnetons per cell) = 0.849

Cell and atoms, written as CIF:
```
data_Na3LiSb
_cell_length_a 5.942
_cell_length_b 5.942
_cell_length_c 5.942
_cell_angle_alpha 90.00
_cell_angle_beta 90.00
_cell_angle_gamma 90.00
_symmetry_space_group_name_H-M 'P m -3 m'
_symmetry_Int_Tables_number 221
_symmetry_space_group_name_Hall '-P 4 2 3'
loop_
_atom_site_label
_atom_site_type_symbol
_atom_site_fract_x
_atom_site_fract_y
_atom_site_fract_z
Na1 Na 0.000 0.000 0.500
Li1 Li 0.500 0.500 0.500
Sb1 Sb 0.000 0.000 0.000
```

# 4
Here is a geometry-optimized Pm6Er2Tm3Sc structure from Alexandria via LeMat-Bulk. Energies are from PBE.

- V (Å³/cell) = 757
- magnetization (Bohr magnetons per cell) = 0.000
- calculated formation energy (kcal/mol of atoms) = 0.6

Cell and atoms, written as CIF:
```
data_Pm6Er2Tm3Sc
_cell_length_a 6.177
_cell_length_b 10.696
_cell_length_c 11.642
_cell_angle_alpha 90.00
_cell_angle_beta 100.16
_cell_angle_gamma 90.00
_symmetry_space_group_name_H-M 'C 1 2/m 1'
_symmetry_Int_Tables_number 12
_symmetry_space_group_name_Hall '-C 2y'
loop_
_atom_site_label
_atom_site_type_symbol
_atom_site_fract_x
_atom_site_fract_y
_atom_site_fract_z
Pm1 Pm 0.248 0.165 0.248
Pm2 Pm 0.249 0.000 0.752
Er1 Er 0.000 0.333 0.000
Tm1 Tm 0.000 0.167 0.500
Tm2 Tm 0.000 0.500 0.500
Sc1 Sc 0.000 0.000 0.000
```

# 5
Here is a geometry-optimized KSrLa structure from Alexandria via LeMat-Bulk. Energies are from PBE.

- ΔE to the lowest computed polymorph (meV per atom) = 711
- V (Å³/cell) = 775
- magnetization (Bohr magnetons per cell) = 10.513
- calculated formation energy (kcal/mol of atoms) = 20.8

Cell and atoms, written as CIF:
```
data_KSrLa
_cell_length_a 9.187
_cell_length_b 9.187
_cell_length_c 9.187
_cell_angle_alpha 90.00
_cell_angle_beta 90.00
_cell_angle_gamma 90.00
_symmetry_space_group_name_H-M 'F -4 3 m'
_symmetry_Int_Tables_number 216
_symmetry_space_group_name_Hall 'F -4 2 3'
loop_
_atom_site_label
_atom_site_type_symbol
_atom_site_fract_x
_atom_site_fract_y
_atom_site_fract_z
K1 K 0.000 0.000 0.000
Sr1 Sr 0.000 0.000 0.500
La1 La 0.250 0.250 0.250
```

# 6
Here is a geometry-optimized CuSe3O structure from Alexandria via LeMat-Bulk. Energies are from PBE.

- E_form (uncorrected) (eV/f.u.) = 3.2
- ΔE to the lowest computed polymorph (meV per atom) = 0
- V (Å³/cell) = 89
- magnetization (Bohr magnetons per cell) = 0.000

Cell and atoms, written as CIF:
```
data_CuSe3O
_cell_length_a 4.472
_cell_length_b 4.472
_cell_length_c 4.472
_cell_angle_alpha 90.00
_cell_angle_beta 90.00
_cell_angle_gamma 90.00
_symmetry_space_group_name_H-M 'P m -3 m'
_symmetry_Int_Tables_number 221
_symmetry_space_group_name_Hall '-P 4 2 3'
loop_
_atom_site_label
_atom_site_type_symbol
_atom_site_fract_x
_atom_site_fract_y
_atom_site_fract_z
Cu1 Cu 0.000 0.000 0.000
Se1 Se 0.000 0.500 0.500
O1 O 0.500 0.500 0.500
```

# 7
Here is a geometry-optimized Ta6BiS12 structure from Alexandria via LeMat-Bulk. Energies are from PBE.

- E_form (uncorrected) (eV/f.u.) = -9.1
- V (Å³/cell) = 1108
- magnetization (Bohr magnetons per cell) = 5.814

Cell and atoms, written as CIF:
```
data_Ta6BiS12
_cell_length_a 11.6094
_cell_length_b 11.6094
_cell_length_c 9.4902
_cell_angle_alpha 90.00
_cell_angle_beta 90.00
_cell_angle_gamma 120.00
_symmetry_space_group_name_H-M 'R -3 m'
_symmetry_Int_Tables_number 166
_symmetry_space_group_name_Hall '-R 3 2"'
loop_
_atom_site_label
_atom_site_type_symbol
_atom_site_fract_x
_atom_site_fract_y
_atom_site_fract_z
Ta1 Ta 0.0662 0.5331 0.2889
Bi1 Bi 0.0000 0.0000 0.0000
S1 S 0.0000 0.3721 0.5000
S2 S 0.0950 0.1901 0.3667
```

# 8
Here is a geometry-optimized Ac3GaGe3 structure from Alexandria via LeMat-Bulk. Energies are from PBE.

- ΔE to the lowest computed polymorph (meV per atom) = 104
- V (Å³/cell) = 475
- magnetization (Bohr magnetons per cell) = 0.000
- calculated formation energy (kcal/mol of atoms) = -13.1

Cell and atoms, written as CIF:
```
data_Ac3GaGe3
_cell_length_a 9.1661
_cell_length_b 9.1661
_cell_length_c 6.5301
_cell_angle_alpha 90.00
_cell_angle_beta 90.00
_cell_angle_gamma 120.00
_symmetry_space_group_name_H-M 'P 63/m'
_symmetry_Int_Tables_number 176
_symmetry_space_group_name_Hall '-P 6c'
loop_
_atom_site_label
_atom_site_type_symbol
_atom_site_fract_x
_atom_site_fract_y
_atom_site_fract_z
Ac1 Ac 0.0675 0.3685 0.2500
Ga1 Ga 0.3333 0.6667 0.7500
Ge1 Ge 0.0717 0.3763 0.7500
```

# 9
Here is a geometry-optimized Co3ReBr structure from Alexandria via LeMat-Bulk. Energies are from PBE.

- E_form (uncorrected) (eV/f.u.) = 7.8
- ΔE to the lowest computed polymorph (meV per atom) = 0
- V (Å³/cell) = 95
- magnetization (Bohr magnetons per cell) = 3.075

Cell and atoms, written as CIF:
```
data_Co3ReBr
_cell_length_a 4.565
_cell_length_b 4.565
_cell_length_c 4.565
_cell_angle_alpha 90.00
_cell_angle_beta 90.00
_cell_angle_gamma 90.00
_symmetry_space_group_name_H-M 'P m -3 m'
_symmetry_Int_Tables_number 221
_symmetry_space_group_name_Hall '-P 4 2 3'
loop_
_atom_site_label
_atom_site_type_symbol
_atom_site_fract_x
_atom_site_fract_y
_atom_site_fract_z
Co1 Co 0.000 0.000 0.500
Re1 Re 0.000 0.000 0.000
Br1 Br 0.500 0.500 0.500
```

# 10
Here is a geometry-optimized Pu2InPt3 structure from Alexandria via LeMat-Bulk. Energies are from PBE.

- V (Å³/cell) = 275
- magnetization (Bohr magnetons per cell) = 20.419
- calculated formation energy (kcal/mol of atoms) = -13.1

Cell and atoms, written as CIF:
```
data_Pu2InPt3
_cell_length_a 4.228
_cell_length_b 5.641
_cell_length_c 11.514
_cell_angle_alpha 90.00
_cell_angle_beta 90.00
_cell_angle_gamma 90.00
_symmetry_space_group_name_H-M 'I m m m'
_symmetry_Int_Tables_number 71
_symmetry_space_group_name_Hall '-I 2 2'
loop_
_atom_site_label
_atom_site_type_symbol
_atom_site_fract_x
_atom_site_fract_y
_atom_site_fract_z
Pu1 Pu 0.000 0.000 0.169
In1 In 0.000 0.000 0.500
Pt1 Pt 0.000 0.500 0.159
Pt2 Pt 0.000 0.500 0.500
```

# 11
Here is a geometry-optimized Ac4Re structure from Alexandria via LeMat-Bulk. Energies are from PBE.

- V (Å³/cell) = 205
- magnetization (Bohr magnetons per cell) = 0.003
- calculated formation energy (kcal/mol of atoms) = 7.2

Cell and atoms, written as CIF:
```
data_Ac4Re
_cell_length_a 5.896
_cell_length_b 5.896
_cell_length_c 5.896
_cell_angle_alpha 90.00
_cell_angle_beta 90.00
_cell_angle_gamma 90.00
_symmetry_space_group_name_H-M 'P m -3 m'
_symmetry_Int_Tables_number 221
_symmetry_space_group_name_Hall '-P 4 2 3'
loop_
_atom_site_label
_atom_site_type_symbol
_atom_site_fract_x
_atom_site_fract_y
_atom_site_fract_z
Ac1 Ac 0.000 0.000 0.000
Ac2 Ac 0.000 0.500 0.500
Re1 Re 0.500 0.500 0.500
```

# 12
Here is a geometry-optimized Tc6GeMo structure from Alexandria via LeMat-Bulk. Energies are from PBE.

- V (Å³/cell) = 358
- magnetization (Bohr magnetons per cell) = 0.000
- calculated formation energy (kcal/mol of atoms) = 2.5

Cell and atoms, written as CIF:
```
data_Tc6GeMo
_cell_length_a 6.9590
_cell_length_b 6.9590
_cell_length_c 8.5369
_cell_angle_alpha 90.00
_cell_angle_beta 90.00
_cell_angle_gamma 120.00
_symmetry_space_group_name_H-M 'R -3'
_symmetry_Int_Tables_number 148
_symmetry_space_group_name_Hall '-R 3'
loop_
_atom_site_label
_atom_site_type_symbol
_atom_site_fract_x
_atom_site_fract_y
_atom_site_fract_z
Tc1 Tc 0.0049 0.2505 0.2512
Ge1 Ge 0.0000 0.0000 0.5000
Mo1 Mo 0.0000 0.0000 0.0000
```